Entry 1:
First-principles (PBE) data for Er2CoSi3Ni12 after structural relaxation, as listed in Alexandria via LeMat-Bulk.

Summary:
E_form (uncorrected)	-1.5	kcal/mol of atoms
M_tot	2.9	μB/f.u.

The structure in POSCAR format:
```
Er2CoSi3Ni12
1.0
-5.528 -3.170 -6.099
0.075 -5.147 -7.162
-3.252 -7.698 -2.820
Ni Si Er Co
12 3 2 1
Direct
0.927 0.927 0.357
0.073 0.643 0.073
0.813 0.411 0.411
0.187 0.589 0.589
0.927 0.357 0.927
0.073 0.073 0.643
0.589 0.187 0.589
0.357 0.927 0.927
0.589 0.589 0.187
0.411 0.411 0.813
0.643 0.073 0.073
0.411 0.813 0.411
0.000 0.500 0.000
0.000 0.000 0.500
0.500 0.000 0.000
0.350 0.350 0.350
0.650 0.650 0.650
0.000 0.000 0.000
```

Entry 2:
First-principles (PBE) data for ErCoNiSn after structural relaxation, as listed in Alexandria via LeMat-Bulk.

Summary:
ΔE_f	-0.365	eV per atom
M_tot	0.4	μB/f.u.

The structure in POSCAR format:
```
ErCoNiSn
1.0
-1.451 -1.562 -4.008
2.509 -2.994 -2.312
-1.390 -4.304 -0.390
Ni Er Sn Co
1 1 1 1
Direct
0.250 0.250 0.250
0.500 0.500 0.500
0.000 0.000 0.000
0.750 0.750 0.750
```

Entry 3:
First-principles (PBE) data for ErTiCoNi after structural relaxation, as listed in Alexandria via LeMat-Bulk.

Summary:
ΔE_f	-0.224	eV per atom
M_tot	0.4	μB/f.u.

The structure in POSCAR format:
```
ErTiCoNi
1.0
4.475 0.000 0.000
2.238 3.876 0.000
2.238 1.292 3.654
Er Ni Ti Co
1 1 1 1
Direct
0.000 0.000 0.000
0.750 0.750 0.750
0.500 0.500 0.500
0.250 0.250 0.250
```

Entry 4:
First-principles (PBE) data for ErTmCoNi after structural relaxation, as listed in Alexandria via LeMat-Bulk.

Summary:
ΔE_f	-0.322	eV per atom
M_tot	0.0	μB/f.u.
polymorph energy (0 for the lowest one)	35	meV per atom

The structure in POSCAR format:
```
ErTmCoNi
1.0
4.685 0.000 0.000
2.343 4.058 0.000
2.343 1.353 3.826
Co Er Ni Tm
1 1 1 1
Direct
0.750 0.750 0.750
0.000 0.000 0.000
0.250 0.250 0.250
0.500 0.500 0.500
```

Entry 5:
First-principles (PBE) data for ErTmCoNi after structural relaxation, as listed in Alexandria via LeMat-Bulk.

Summary:
ΔE_f	-0.357	eV per atom
M_tot	0.0	μB/f.u.
polymorph energy (0 for the lowest one)	0	meV per atom

The structure in POSCAR format:
```
ErTmCoNi
1.0
3.784 0.000 0.000
0.000 3.938 0.000
-1.892 0.000 5.139
Ni Tm Er Co
1 1 1 1
Direct
0.568 0.500 0.136
0.858 0.500 0.717
0.143 0.000 0.287
0.430 0.000 0.860
```

Entry 6:
First-principles (PBE) data for Er2ZnCo3Ni12 after structural relaxation, as listed in Alexandria via LeMat-Bulk.

Summary:
ΔE_f	0.033	eV per atom
M_tot	8.3	μB/f.u.

The structure in POSCAR format:
```
Er2ZnCo3Ni12
1.0
-4.703 -1.709 -3.670
3.043 0.535 -5.381
1.614 -5.969 -0.522
Ni Er Co Zn
12 2 3 1
Direct
0.200 0.721 0.200
0.800 0.800 0.279
0.419 0.419 0.855
0.419 0.855 0.419
0.279 0.800 0.800
0.721 0.200 0.200
0.581 0.581 0.145
0.581 0.145 0.581
0.200 0.200 0.721
0.855 0.419 0.419
0.800 0.279 0.800
0.145 0.581 0.581
0.727 0.727 0.727
0.273 0.273 0.273
0.000 0.500 0.000
0.000 0.000 0.500
0.500 0.000 0.000
0.000 0.000 0.000
```

Entry 7:
First-principles (PBE) data for ErZrCoNi after structural relaxation, as listed in Alexandria via LeMat-Bulk.

Summary:
ΔE_f	-0.288	eV per atom
M_tot	0.5	μB/f.u.

The structure in POSCAR format:
```
ErZrCoNi
1.0
-4.561 0.626 -0.301
-2.378 -1.974 -3.425
-2.873 -3.495 0.902
Ni Co Er Zr
1 1 1 1
Direct
0.750 0.750 0.750
0.250 0.250 0.250
0.000 0.000 0.000
0.500 0.500 0.500
```

Entry 8:
First-principles (PBE) data for ErNpCo2 after structural relaxation, as listed in Alexandria via LeMat-Bulk.

Summary:
ΔE_f	0.021	eV per atom
M_tot	2.5	μB/f.u.
polymorph energy (0 for the lowest one)	0	meV per atom

The structure in POSCAR format:
```
ErNpCo2
1.0
-1.044 1.071 -2.807
2.881 -3.007 -2.220
-3.402 -3.271 0.017
Co Np Er
2 1 1
Direct
0.000 0.000 0.500
0.000 0.500 0.000
0.500 0.000 0.000
0.500 0.500 0.500
```

Entry 9:
First-principles (PBE) data for ErNp2Co9 after structural relaxation, as listed in Alexandria via LeMat-Bulk.

Summary:
ΔE_f	-0.120	eV per atom
M_tot	2.6	μB/f.u.

The structure in POSCAR format:
```
ErNp2Co9
1.0
-2.273 -1.557 3.998
2.564 -1.850 3.685
0.758 6.306 5.836
Er Np Co
1 2 9
Direct
0.000 0.000 0.000
0.859 0.859 0.422
0.141 0.141 0.578
0.419 0.419 0.245
0.917 0.419 0.245
0.581 0.581 0.755
0.500 0.500 0.500
0.581 0.083 0.755
0.419 0.917 0.245
0.667 0.667 0.998
0.333 0.333 0.002
0.083 0.581 0.755
```

Entry 10:
First-principles (PBE) data for Er2NpCo9 after structural relaxation, as listed in Alexandria via LeMat-Bulk.

Summary:
ΔE_f	-0.135	eV per atom
M_tot	6.6	μB/f.u.

The structure in POSCAR format:
```
Er2NpCo9
1.0
4.724 0.000 1.406
2.153 4.205 1.406
0.018 0.011 8.581
Co Np Er
9 1 2
Direct
0.583 0.583 0.755
0.922 0.417 0.245
0.583 0.078 0.755
0.665 0.665 0.004
0.335 0.335 0.996
0.078 0.583 0.755
0.500 0.500 0.500
0.417 0.417 0.245
0.417 0.922 0.245
0.000 0.000 0.000
0.860 0.860 0.420
0.140 0.140 0.580
```

Entry 11:
First-principles (PBE) data for ErNpCo2 after structural relaxation, as listed in Alexandria via LeMat-Bulk.

Summary:
ΔE_f	0.096	eV per atom
M_tot	2.1	μB/f.u.
polymorph energy (0 for the lowest one)	75	meV per atom

The structure in POSCAR format:
```
ErNpCo2
1.0
-1.416 -3.109 -1.239
1.735 -3.142 0.571
-3.162 -2.858 5.454
Er Np Co
1 1 2
Direct
0.500 0.500 0.500
0.000 0.000 0.000
0.739 0.739 0.782
0.261 0.261 0.218
```

Entry 12:
First-principles (PBE) data for Er2NpCo after structural relaxation, as listed in Alexandria via LeMat-Bulk.

Summary:
ΔE_f	0.454	eV per atom
M_tot	5.0	μB/f.u.

The structure in POSCAR format:
```
Er2NpCo
1.0
3.411 0.000 0.000
1.706 2.954 0.000
1.706 0.985 10.190
Er Np Co
2 1 1
Direct
0.110 0.110 0.669
0.890 0.890 0.331
0.000 0.000 0.000
0.500 0.500 0.500
```

Entry 13:
First-principles (PBE) data for Er3NpCo8 after structural relaxation, as listed in Alexandria via LeMat-Bulk.

Summary:
ΔE_f	-0.185	eV per atom
M_tot	3.7	μB/f.u.

The structure in POSCAR format:
```
Er3NpCo8
1.0
-3.649 -1.853 2.915
-4.036 -2.145 -2.086
1.227 -8.589 0.407
Np Co Er
1 8 3
Direct
0.875 0.875 0.375
0.937 0.437 0.190
0.937 0.937 0.685
0.440 0.937 0.685
0.437 0.437 0.190
0.437 0.937 0.190
0.937 0.440 0.685
0.688 0.688 0.937
0.188 0.188 0.437
0.500 0.500 0.500
0.375 0.375 0.876
0.000 0.000 0.000
```